BaBeTc2: relaxed, PBE.

```
4
Lattice="3.950 0.000 0.000 0.000 1.645 6.452 0.000 -1.645 6.452" Properties=species:S:1:pos:R:3 pbc="T T T"
Ba 0.000 0.000 0.000
Be 1.975 0.000 8.381
Tc 0.000 0.000 9.681
Tc 1.975 0.000 3.582
```

Calculated values
Formation enthalpy at 0 K in eV/atom: 0.507
Magnetization in μB/cell: 0.000
SG: Amm2, No. 38



BW2Se: relaxed, PBE.

```
4
Lattice="1.587 0.916 6.788 -1.587 0.916 6.788 0.000 -1.833 6.788" Properties=species:S:1:pos:R:3 pbc="T T T"
B 0.000 0.000 0.000
W 0.000 0.000 5.636
W 0.000 0.000 14.829
Se 0.000 0.000 3.096
```

Calculated values
Magnetization in μB/cell: 0.000
Energy relative to the elements, uncorrected in kcal/mol of atoms: -1.936
SG: R3m, No. 160



Nd2CdPd3: relaxed, PBE.

```
24
Lattice="7.517 0.000 0.000 0.000 3.972 0.000 0.000 0.000 17.807" Properties=species:S:1:pos:R:3 pbc="T T T"
Nd 0.771 0.993 3.768
Nd 1.149 0.993 7.632
Nd 2.610 2.979 16.535
Nd 2.988 2.979 12.672
Nd 4.529 0.993 5.135
Nd 4.908 0.993 1.272
Nd 6.368 2.979 10.175
Nd 6.747 2.979 14.039
Cd 0.106 2.979 1.123
Cd 3.653 0.993 10.027
Cd 3.865 2.979 7.780
Cd 7.411 0.993 16.684
Pd 0.674 0.993 11.706
Pd 1.571 0.993 14.439
Pd 1.731 2.979 9.869
Pd 2.028 0.993 0.966
Pd 2.187 2.979 5.536
Pd 3.085 2.979 2.803
Pd 4.432 0.993 15.004
Pd 5.330 0.993 12.271
Pd 5.489 2.979 16.841
Pd 5.787 0.993 7.938
Pd 5.946 2.979 3.368
Pd 6.844 2.979 6.101
```

Calculated values
Formation enthalpy at 0 K in eV/atom: -0.720
Magnetization in μB/cell: 0.000
SG: Pnma, No. 62



Pb2SeCl: relaxed, PBE.

```
4
Lattice="1.997 1.153 8.552 -1.997 1.153 8.552 0.000 -2.305 8.552" Properties=species:S:1:pos:R:3 pbc="T T T"
Pb 0.000 0.000 0.000
Pb 0.000 0.000 4.554
Se 0.000 0.000 15.160
Cl 0.000 0.000 10.756
```

Calculated values
Magnetization in μB/cell: 0.000
Energy relative to the elements, uncorrected in kcal/mol of atoms: -13.169
SG: R3m, No. 160



Dy3Th4S8: relaxed, PBE.

```
15
Lattice="5.611 -5.615 0.000 5.611 5.615 0.000 -5.586 0.000 5.623" Properties=species:S:1:pos:R:3 pbc="T T T"
Dy 0.000 0.000 0.000
Dy 2.806 2.808 0.000
Dy 2.806 -2.808 0.000
Th 0.012 2.808 2.811
Th 0.012 -2.808 2.811
Th 5.611 0.000 0.000
Th 2.818 0.000 2.811
S -0.085 0.000 2.758
S -2.823 0.000 5.554
S 2.818 2.888 2.811
S 5.611 2.860 0.000
S 5.611 -2.860 0.000
S 2.818 -2.888 2.811
S 8.459 0.000 0.069
S 5.721 0.000 2.865
```

Calculated values
Magnetization in μB/cell: 0.000
Energy relative to the elements, uncorrected in kcal/mol of atoms: -44.147
SG: C2/m, No. 12



EuErMgAu: relaxed, PBE.

```
4
Lattice="0.000 3.732 3.732 3.732 0.000 3.732 3.732 3.732 0.000" Properties=species:S:1:pos:R:3 pbc="T T T"
Eu 0.000 0.000 0.000
Er 3.732 3.732 3.732
Mg 1.866 1.866 1.866
Au 5.599 5.599 5.599
```

Calculated values
Formation enthalpy at 0 K in eV/atom: -0.364
Magnetization in μB/cell: 7.184
SG: F-43m, No. 216



K2AlPd: relaxed, PBE.

```
8
Lattice="-6.093 6.093 2.388 6.093 -6.093 2.388 6.093 6.093 -2.388" Properties=species:S:1:pos:R:3 pbc="T T T"
K -0.911 3.046 0.597
K 3.046 5.182 1.791
K 0.911 9.139 0.597
K -3.046 7.004 1.791
Al 6.093 0.000 1.194
Al 0.000 0.000 2.388
Pd 0.000 0.000 0.000
Pd 0.000 6.093 1.194
```

Calculated values
Formation enthalpy at 0 K in eV/atom: 0.017
Magnetization in μB/cell: 0.000
SG: I-42d, No. 122



Tb2Sm3Hg6: relaxed, PBE.

```
11
Lattice="-2.569 2.569 13.442 2.569 -2.569 13.442 2.569 2.569 -13.442" Properties=species:S:1:pos:R:3 pbc="T T T"
Tb 0.000 0.000 3.390
Tb 0.000 0.000 23.493
Sm 0.000 0.000 9.618
Sm 0.000 0.000 13.442
Sm 0.000 0.000 17.266
Hg 2.569 0.000 1.789
Hg 0.000 0.000 6.470
Hg 2.569 0.000 11.653
Hg 0.000 2.569 1.789
Hg 0.000 0.000 20.414
Hg 0.000 2.569 11.653
```

Calculated values
Formation enthalpy at 0 K in eV/atom: -0.109
Magnetization in μB/cell: 0.088
SG: I4/mmm, No. 139



InSI2O: relaxed, PBE.

```
5
Lattice="6.333 0.000 0.000 0.000 6.333 0.000 0.000 0.000 3.948" Properties=species:S:1:pos:R:3 pbc="T T T"
In 0.000 0.000 0.000
S 3.166 3.166 1.974
I 0.000 3.166 0.000
I 3.166 0.000 0.000
O 0.000 0.000 1.974
```

Calculated values
Magnetization in μB/cell: 2.872
Energy relative to the elements, uncorrected in kcal/mol of atoms: 4.369
SG: P4/mmm, No. 123



HfHgPd2Au: relaxed, PBE.

```
5
Lattice="4.941 0.000 0.000 0.000 4.941 0.000 0.000 0.000 5.226" Properties=species:S:1:pos:R:3 pbc="T T T"
Hf 0.000 0.000 0.000
Hg 2.471 2.471 2.613
Pd 0.000 2.471 0.000
Pd 2.471 0.000 0.000
Au 0.000 0.000 2.613
```

Calculated values
Formation enthalpy at 0 K in eV/atom: 0.565
Magnetization in μB/cell: 0.000
SG: P4/mmm, No. 123



TlCd2Bi2: relaxed, PBE.

```
5
Lattice="3.450 0.000 0.000 -0.001 5.560 0.000 -1.682 -2.670 7.716" Properties=species:S:1:pos:R:3 pbc="T T T"
Tl 0.000 0.000 0.000
Cd 0.010 2.855 4.504
Cd 1.758 0.035 3.212
Bi 0.036 0.081 5.937
Bi 1.732 2.810 1.780
```

Calculated values
Formation enthalpy at 0 K in eV/atom: 0.007
Magnetization in μB/cell: 0.000
SG: P-1, No. 2



AcTb2In: relaxed, PBE.

```
8
Lattice="4.958 0.000 0.000 0.000 5.018 0.000 -2.476 0.000 11.057" Properties=species:S:1:pos:R:3 pbc="T T T"
Ac 0.004 1.255 4.246
Ac 2.478 3.764 6.810
Tb 0.004 3.764 1.224
Tb 0.000 3.764 9.727
Tb 2.482 1.255 1.330
Tb 2.478 1.255 9.833
In -0.001 1.255 7.659
In 2.483 3.764 3.398
```

Calculated values
Formation enthalpy at 0 K in eV/atom: -0.210
Magnetization in μB/cell: 0.000
SG: P2_1/m, No. 11